Computed, not measured: a geometry-optimized MgPtW structure at the GGA-PBE level of DFT.

Calculated values
* energy of formation: -90 meV per atom
* excess energy over the best structure of this formula in the dataset: 55 kJ/mol of formula units
* N(E_F): 0.773 states/eV/atom

Unit cell a=3.7927 b=3.7927 c=7.3054 alpha=90.00 beta=90.00 gamma=90.00
With the nearest neighbours (Å) after each atom.
Fractional positions:
Mg  0.2500  0.2500  0.1527  5 Pt 2.72-2.73
Mg  0.7500  0.7500  0.8473  5 Pt 2.72-2.73
Pt  0.2500  0.2500  0.7802  5 Mg 2.72-2.73, 4 W 2.79
Pt  0.7500  0.7500  0.2198  5 Mg 2.72-2.73, 4 W 2.79
W  0.2500  0.7500  0.5000  4 W 2.68, 4 Pt 2.79
W  0.7500  0.2500  0.5000  4 W 2.68, 4 Pt 2.79